1.
K2BeCr after structural relaxation. Source: the Alexandria database, functional GGA-PBE.

The structure belongs to space group Imm2 (No. 44); the cell edges are 4.0775, 5.8787 and 11.2201 Å and the angles 90.00°, 90.00° and 90.00°. The asymmetric unit holds K at (0.0000, 0.0000, 0.0000), K at (0.0000, 0.5000, 0.1926), Be at (0.0000, 0.5000, 0.7783) and Cr at (0.0000, 0.0000, 0.3840).



2.
TbPr3Er6Tm2 after structural relaxation. Source: the Alexandria database, functional GGA-PBE.

The structure belongs to space group C2/m (No. 12); the cell edges are 6.1758, 10.6916 and 11.7512 Å and the angles 90.00°, 100.07° and 90.00°. The asymmetric unit holds Tb at (0.0000, 0.0000, 0.0000), Pr at (0.0000, 0.1667, 0.5000), Pr at (0.0000, 0.5000, 0.5000), Er at (0.2482, 0.5000, 0.2450), Er at (0.2487, 0.1668, 0.2449) and Tm at (0.0000, 0.3333, 0.0000).



3.
La2TlHIr after structural relaxation. Source: the Alexandria database, functional GGA-PBE.

The structure belongs to space group P4/mmm (No. 123); the cell edges are 5.4128, 5.4128 and 3.7905 Å and the angles 90.00°, 90.00° and 90.00°. The asymmetric unit holds La at (0.0000, 0.5000, 0.0000), Tl at (0.0000, 0.0000, 0.5000), H at (0.5000, 0.5000, 0.0000) and Ir at (0.5000, 0.5000, 0.5000).



no.,electronic total energy (eV per cell)
1,-23.675
2,-109.989
3,-26.568